*A*
Entry from the Alexandria database: a relaxed structure of Nd3Sm2Ga4 (PBE-GGA).

Its magnetization is 0.000 μB/cell. The density of states at the Fermi level is 15.273 states/eV per cell.

It has space group C2/m (No. 12), with a = 10.8500 Å, b = 4.5789 Å, c = 9.8691 Å, α = 90.00°, β = 92.01° and γ = 90.00°. The distinct sites, in fractional coordinates, are Nd at (0.0000, 0.0000, 0.0000), Nd at (0.1228, 0.5000, 0.6111), Sm at (0.1763, 0.5000, 0.2299), Ga at (0.0780, 0.0000, 0.3966) and Ga at (0.1951, 0.5000, 0.9251).

---

*B*
Entry from the Alexandria database: a relaxed structure of Nd3Sm2Ga4 (PBE-GGA).

Its magnetization is 0.000 μB/cell. The density of states at the Fermi level is 16.122 states/eV per cell.

It has space group P2_1/c (No. 14), with a = 8.2346 Å, b = 8.2394 Å, c = 7.5198 Å, α = 90.00°, β = 105.71° and γ = 90.00°. The distinct sites, in fractional coordinates, are Nd at (0.0000, 0.0000, 0.0000), Nd at (0.2648, 0.1750, 0.7470), Sm at (0.3138, 0.6877, 0.9275), Ga at (0.0166, 0.6246, 0.1156) and Ga at (0.4199, 0.0282, 0.1355).

---

Relative to the most stable structure, the computed energies are *A* 63; *B* 0, all in meV/atom.